! YInRu2, relaxed, DFT PBE-GGA; values from VASP
&SYSTEM
  ibrav = 0, nat = 4, ntyp = 3
/
ATOMIC_SPECIES
Y 88.91 Y.upf
Ru 101.07 Ru.upf
In 114.82 In.upf
CELL_PARAMETERS angstrom
5.3772 0.0051 -0.0029
-1.9011 5.0299 -0.0029
0.7206 1.0437 2.7503
ATOMIC_POSITIONS crystal
Y 0.5000 0.0000 0.5000
Ru 0.5000 0.5000 0.0000
Ru 0.0000 0.0000 0.0000
In 0.0000 0.5000 0.5000
! ΔE_f ... 120.7 meV/atom
! Symmetry ... C2/m, No. 12
! Spin magnetization ... 0.00 μB/f.u.
! Calculated volume ... 18.612 A^3/atom